(1)
# PrSm5Mg3 | Alexandria | PBE | relaxed
data_PrSm5Mg3
_chemical_formula_sum 'Pr4 Sm20 Mg12'
_space_group_name_H-M_alt 'C 1 2/m 1'
_space_group_IT_number 12
_cell_length_a 13.561
_cell_length_b 8.228
_cell_length_c 10.962
_cell_angle_alpha 90.00
_cell_angle_beta 97.20
_cell_angle_gamma 90.00
loop_
_space_group_symop_operation_xyz
'x,y,z'
'-x,-y,-z'
'-x,y,-z'
'x,-y,z'
'x+1/2,y+1/2,z'
'-x+1/2,-y+1/2,-z'
'-x+1/2,y+1/2,-z'
'x+1/2,-y+1/2,z'
loop_
_atom_site_label
_atom_site_type_symbol
_atom_site_fract_x
_atom_site_fract_y
_atom_site_fract_z
_atom_site_occupancy
Pr1 Pr 0.111 0.000 0.266 1
Sm1 Sm 0.000 0.331 0.000 1
Sm2 Sm 0.014 0.500 0.640 1
Sm3 Sm 0.149 0.204 0.731 1
Sm4 Sm 0.243 0.000 0.029 1
Mg1 Mg 0.000 0.000 0.000 1
Mg2 Mg 0.000 0.000 0.500 1
Mg3 Mg 0.155 0.500 0.209 1
Mg4 Mg 0.218 0.500 0.489 1
# DOS at the Fermi energy ... 1.419 states/eV/atom
# Energy of formation from the pure elements ... 363 meV/atom
# ρ ... 5.29 g/cm3
# E ... -29.89 eV per formula unit

(2)
# Pr7Sm12Mg | Alexandria | PBE | relaxed
data_Pr7Sm12Mg
_chemical_formula_sum 'Pr14 Sm24 Mg2'
_space_group_name_H-M_alt 'I m -3 m'
_space_group_IT_number 229
_space_group_name_Hall '-I 4 2 3'
_cell_length_a 11.573
_cell_length_b 11.573
_cell_length_c 11.573
_cell_angle_alpha 90.00
_cell_angle_beta 90.00
_cell_angle_gamma 90.00
loop_
_atom_site_label
_atom_site_type_symbol
_atom_site_fract_x
_atom_site_fract_y
_atom_site_fract_z
_atom_site_occupancy
Pr1 Pr 0.000 0.000 0.500 1
Pr2 Pr 0.250 0.250 0.250 1
Sm1 Sm 0.000 0.243 0.243 1
Mg1 Mg 0.000 0.000 0.000 1
# DOS at the Fermi energy ... 1.301 states/eV/atom
# Energy of formation from the pure elements ... 603 meV/atom
# Offset from the most stable computed form ... 8.33 eV/f.u.
# ρ ... 6.03 g/cm3
# E ... -79.61 eV per formula unit

(3)
# Pr5Sm2Mg | Alexandria | PBE | relaxed
data_Pr5Sm2Mg
_chemical_formula_sum 'Pr10 Sm4 Mg2'
_space_group_name_H-M_alt 'C 1 m 1'
_space_group_IT_number 8
_cell_length_a 7.337
_cell_length_b 11.693
_cell_length_c 7.354
_cell_angle_alpha 90.00
_cell_angle_beta 119.92
_cell_angle_gamma 90.00
loop_
_space_group_symop_operation_xyz
'x,y,z'
'x,-y,z'
'x+1/2,y+1/2,z'
'x+1/2,-y+1/2,z'
loop_
_atom_site_label
_atom_site_type_symbol
_atom_site_fract_x
_atom_site_fract_y
_atom_site_fract_z
_atom_site_occupancy
Pr1 Pr 0.000 0.000 0.000 1
Pr2 Pr 0.004 0.000 0.482 1
Pr3 Pr 0.024 0.500 0.000 1
Pr4 Pr 0.345 0.250 0.665 1
Sm1 Sm 0.346 0.240 0.169 1
Mg1 Mg 0.011 0.500 0.497 1
# DOS at the Fermi energy ... 1.283 states/eV/atom
# Energy of formation from the pure elements ... 3 meV/atom
# Offset from the most stable computed form ... 0.06 eV/f.u.
# ρ ... 6.25 g/cm3
# E ... -34.91 eV per formula unit

(4)
# Pr12Sm7Mg | Alexandria | PBE | relaxed
data_Pr12Sm7Mg
_chemical_formula_sum 'Pr24 Sm14 Mg2'
_space_group_name_H-M_alt 'I m -3'
_space_group_IT_number 204
_space_group_name_Hall '-I 2 2 3'
_cell_length_a 11.711
_cell_length_b 11.711
_cell_length_c 11.711
_cell_angle_alpha 90.00
_cell_angle_beta 90.00
_cell_angle_gamma 90.00
loop_
_atom_site_label
_atom_site_type_symbol
_atom_site_fract_x
_atom_site_fract_y
_atom_site_fract_z
_atom_site_occupancy
Pr1 Pr 0.000 0.247 0.247 1
Sm1 Sm 0.000 0.000 0.500 1
Sm2 Sm 0.250 0.250 0.250 1
Mg1 Mg 0.000 0.000 0.000 1
# DOS at the Fermi energy ... 1.275 states/eV/atom
# Energy of formation from the pure elements ... 618 meV/atom
# Offset from the most stable computed form ... 8.67 eV/f.u.
# ρ ... 5.72 g/cm3
# E ... -79.63 eV per formula unit

Q: Look up the ρ of the third one.
A: 6.25 g/cm3